# Na2TcNiO4

A relaxed structure of Na2TcNiO4 (PBE+U, Alexandria via LeMat-Bulk).

Properties
Crystal system: tetragonal
Space-group type: I-4
Total DFT energy (no corrections): -5.626 eV/atom

Cell and atoms, written as POSCAR:
```
Na2TcNiO4
1.0
-2.899 2.899 3.218
2.899 -2.899 3.218
2.899 2.899 -3.218
Na Tc Ni O
2 1 1 4
Cartesian
0.000 0.000 0.000
0.000 2.899 1.609
0.000 0.000 3.218
2.899 0.000 1.609
1.153 -0.964 2.111
1.935 1.746 1.108
1.746 3.863 -1.108
0.964 1.153 4.326
```